Below is a relaxed K6CoS4 crystal, with properties calculated at the GGA-PBE level.

```
22
Lattice="-2.817 -9.104 2.116 8.390 1.534 -4.749 3.707 0.406 6.679" Properties=species:S:1:pos:R:3 pbc="T T T"
Co 5.586 -1.910 -0.781
Co 3.704 -5.253 4.846
K 0.569 -2.423 0.223
K -1.010 -7.528 1.410
K 3.694 -6.668 -1.253
K 0.349 -4.578 3.287
K 3.819 -3.943 1.323
K 2.654 -7.709 2.198
K 8.768 0.197 -0.105
K 7.188 -4.907 1.081
K 4.064 -0.663 2.558
K 9.788 -2.493 2.303
K 7.482 0.638 3.392
K 6.317 -3.128 4.267
S 1.141 -5.534 0.228
S 3.369 -1.145 -0.443
S 6.721 -0.532 -2.340
S 5.595 -4.169 -1.495
S 6.729 -1.785 1.280
S 5.206 -6.096 3.219
S 2.979 -3.072 4.271
S 1.854 -6.709 5.116
```

Properties
Energy ... -3.669 eV per atom
Symmetry ... P6_3mc